DFT (PBE-GGA) results for BaCoNiAs2 after structural relaxation.

Results
SG: No. 119
Crystal system: tetragonal
Uncorrected energy, eV/atom: -5.402
Total moment, Bohr magnetons per cell: 1.3

a b c (Å): 4.0851 4.0851 12.0738
angles (deg): 90.00 90.00 90.00
Fractional coordinates of all 10 atoms:
Ba 0.0000 0.0000 0.0000
Ba 0.5000 0.5000 0.5000
Co 0.0000 0.5000 0.7500
Co 0.5000 0.0000 0.2500
Ni 0.0000 0.5000 0.2500
Ni 0.5000 0.0000 0.7500
As 0.0000 0.0000 0.3459
As 0.0000 0.0000 0.6541
As 0.5000 0.5000 0.1541
As 0.5000 0.5000 0.8459